# 1
VASP calculation (GGA-PBE) on a relaxed structure of La3Pd6Pt2.

Cell: 8.4278 8.4278 8.4278 Å, 109.47 109.47 109.47°
Fractional coordinates of all 22 atoms:
1 La 0.0000 0.2954 0.2954
2 La 0.0000 0.7046 0.7046
3 La 0.2954 0.0000 0.2954
4 La 0.2954 0.2954 0.0000
5 La 0.7046 0.0000 0.7046
6 La 0.7046 0.7046 0.0000
7 Pd 0.0000 0.3395 0.6605
8 Pd 0.0000 0.6605 0.3395
9 Pd 0.3211 0.6605 0.6605
10 Pd 0.3395 0.0000 0.6605
11 Pd 0.3395 0.3395 0.6789
12 Pd 0.3395 0.6605 0.0000
13 Pd 0.3395 0.6789 0.3395
14 Pd 0.6605 0.0000 0.3395
15 Pd 0.6605 0.3211 0.6605
16 Pd 0.6605 0.3395 0.0000
17 Pd 0.6605 0.6605 0.3211
18 Pd 0.6789 0.3395 0.3395
19 Pt 0.0000 0.0000 0.5000
20 Pt 0.0000 0.5000 0.0000
21 Pt 0.5000 0.0000 0.0000
22 Pt 0.5000 0.5000 0.5000

Computed properties:
Energy ... -6.028 eV/atom
Space group ... Im-3m (229)

***

# 2
VASP calculation (GGA-PBE) on a relaxed structure of LaPdPt.

Cell: 5.4435 5.4435 5.8179 Å, 90.00 90.00 132.17°
Fractional coordinates of all 6 atoms:
1 La 0.1837 0.8163 0.7500
2 La 0.8163 0.1837 0.2500
3 Pd 0.1048 0.8952 0.2500
4 Pd 0.8952 0.1048 0.7500
5 Pt 0.5000 0.5000 0.0000
6 Pt 0.5000 0.5000 0.5000

Computed properties:
Space group ... Cmcm (63)
Excess energy over the best structure of this formula in the dataset ... 6 meV per atom